Density functional theory data (GGA-PBE) for a geometry-optimized Sr3Ti2O7 structure.

abc: 3.9412 3.9412 20.5043
angles: 90.00 90.00 90.00
Space group I4/mmm (No. 139)
One atom of each set of equivalent atoms:
Sr: 0.0000 0.0000 0.0000
Sr: 0.0000 0.0000 0.1843
Ti: 0.0000 0.0000 0.4022
O: 0.0000 0.0000 0.3061
O: 0.0000 0.0000 0.5000
O: 0.0000 0.5000 0.0963

**Crystal system**: tetragonal
**Formation energy (no corrections)**: -3088 meV/atom

Density functional theory data (GGA-PBE) for a geometry-optimized SrTi4O8 structure.

abc: 10.3188 5.9730 7.8451
angles: 90.00 130.11 90.00
Space group C2/m (No. 12)
One atom of each set of equivalent atoms:
Sr: 0.0000 0.0000 0.0000
Ti: 0.0000 0.2502 0.5000
Ti: 0.2286 0.5000 0.4561
O: 0.0090 0.0000 0.3354
O: 0.0089 0.5000 0.6819
O: 0.2435 0.2378 0.3219

**Energy relative to the lowest polymorph listed for this composition**: 0 meV/atom
**Crystal system**: monoclinic
**Formation energy (no corrections)**: -2972 meV/atom

Density functional theory data (GGA-PBE) for a geometry-optimized Sr2Ti2O5 structure.

abc: 3.9571 3.9571 7.6831
angles: 90.00 90.00 90.00
Space group P4/mmm (No. 123)
One atom of each set of equivalent atoms:
Sr: 0.0000 0.0000 0.0000
Sr: 0.0000 0.0000 0.5000
Ti: 0.5000 0.5000 0.2451
O: 0.0000 0.5000 0.2299
O: 0.5000 0.5000 0.5000

**Energy relative to the lowest polymorph listed for this composition**: 0 meV/atom
**Crystal system**: tetragonal
**Formation energy (no corrections)**: -2900 meV/atom

> Which formula does entry 3 have?

Sr2Ti2O5